No. 1
Here is a relaxed Ac3La2Y7 crystal from the Alexandria database. Energies are from PBE.

Structure (POSCAR):
```
Ac3La2Y7
1.0
-2.592 -2.310 1.383
-1.002 -2.134 -5.445
15.912 -10.860 6.697
Y Ac La
7 3 2
Direct
0.069 0.445 0.141
0.582 0.970 0.168
0.931 0.555 0.859
0.272 0.285 0.542
0.728 0.715 0.458
0.418 0.030 0.832
0.000 0.000 0.000
0.177 0.133 0.359
0.500 0.500 0.000
0.823 0.867 0.641
0.641 0.572 0.286
0.359 0.428 0.714
```

Space-group type: P-1 (2)
Formation enthalpy at 0 K (eV/atom): 0.106
N(E_F) (states/eV/cell): 18.1

***

No. 2
Here is a relaxed NpSnPtAu crystal from the Alexandria database. Energies are from PBE.

Structure (POSCAR):
```
NpSnPtAu
1.0
4.920 0.000 0.000
2.460 4.261 0.000
2.460 1.420 4.017
Pt Sn Np Au
1 1 1 1
Direct
0.500 0.500 0.500
0.750 0.750 0.750
0.250 0.250 0.250
0.000 0.000 0.000
```

Space-group type: F-43m (216)
Formation enthalpy at 0 K (eV/atom): -0.336
N(E_F) (states/eV/cell): 11.7

***

No. 3
Here is a relaxed RhIBr crystal from the Alexandria database. Energies are from PBE.

Structure (POSCAR):
```
RhIBr
1.0
-0.094 1.263 -3.687
-3.270 -0.066 2.122
3.424 17.229 5.813
I Br Rh
3 3 3
Direct
0.000 0.000 0.165
0.333 0.667 0.832
0.667 0.333 0.499
0.333 0.667 0.344
0.000 0.000 0.677
0.667 0.333 0.010
0.667 0.333 0.752
0.000 0.000 0.419
0.333 0.667 0.086
```

Uncorrected formation energy (eV/atom): -0.10
ΔE to the lowest computed polymorph (meV/atom): 45
Space-group type: R3m (160)
N(E_F) (states/eV/cell): 9.6

***

No. 4
Here is a relaxed Si2OsPb crystal from the Alexandria database. Energies are from PBE.

Structure (POSCAR):
```
Si2OsPb
1.0
-0.642 -0.813 2.861
-0.703 -2.801 -0.956
7.311 -2.182 1.019
Os Pb Si
1 1 2
Direct
0.500 0.500 0.250
0.500 0.500 0.750
0.000 0.000 0.064
0.000 0.000 0.436
```

Uncorrected formation energy (eV/atom): 0.16
Space-group type: P4/mmm (123)
N(E_F) (states/eV/cell): 1.4

***

No. 5
Here is a relaxed PuPaSiTc crystal from the Alexandria database. Energies are from PBE.

Structure (POSCAR):
```
PuPaSiTc
1.0
4.742 0.000 0.000
2.371 4.106 0.000
2.371 1.369 3.872
Pa Tc Pu Si
1 1 1 1
Direct
0.250 0.250 0.250
0.750 0.750 0.750
0.500 0.500 0.500
0.000 0.000 0.000
```

Uncorrected formation energy (eV/atom): -0.16
Space-group type: F-43m (216)
N(E_F) (states/eV/cell): 5.6

***

No. 6
Here is a relaxed Sm6Ho2Tl crystal from the Alexandria database. Energies are from PBE.

Structure (POSCAR):
```
Sm6Ho2Tl
1.0
4.944 0.000 0.259
0.000 10.771 0.000
-0.565 0.000 10.759
Sm Ho Tl
12 4 2
Direct
0.000 0.660 0.840
0.500 0.835 0.998
0.000 0.665 0.498
0.000 0.002 0.835
0.500 0.840 0.340
0.000 0.998 0.165
0.500 0.502 0.665
0.000 0.340 0.160
0.500 0.165 0.002
0.500 0.498 0.335
0.500 0.160 0.660
0.000 0.335 0.502
0.500 0.163 0.338
0.000 0.337 0.838
0.000 0.663 0.162
0.500 0.837 0.662
0.500 0.500 0.000
0.000 0.000 0.500
```

ΔE to the lowest computed polymorph (meV/atom): 0
Space-group type: P4_2/mnm (136)
Formation enthalpy at 0 K (eV/atom): -0.036
N(E_F) (states/eV/cell): 27.4

***

No. 7
Here is a relaxed CrBCl2 crystal from the Alexandria database. Energies are from PBE.

Structure (POSCAR):
```
CrBCl2
1.0
1.777 0.000 8.492
-0.888 1.539 8.492
-0.888 -1.539 8.492
Cl B Cr
2 1 1
Direct
0.106 0.106 0.106
0.894 0.894 0.894
0.000 0.000 0.000
0.500 0.500 0.500
```

Uncorrected formation energy (eV/atom): 0.84
ΔE to the lowest computed polymorph (meV/atom): 23
Space-group type: R-3m (166)
N(E_F) (states/eV/cell): 4.6

***

No. 8
Here is a relaxed Hf2TeAs crystal from the Alexandria database. Energies are from PBE.

Structure (POSCAR):
```
Hf2TeAs
1.0
6.209 0.000 0.000
0.000 6.209 0.000
3.104 3.104 6.206
Hf Te As
4 2 2
Direct
0.159 0.625 0.250
0.375 0.409 0.750
0.875 0.841 0.750
0.591 0.125 0.250
0.750 0.250 0.500
0.000 0.000 0.000
0.250 0.750 0.500
0.500 0.500 0.000
```

Uncorrected formation energy (eV/atom): -0.09
ΔE to the lowest computed polymorph (meV/atom): 648
Space-group type: I-42d (122)
N(E_F) (states/eV/cell): 6.5